# GGA-PBE SbW, relaxed
data_SbW
_symmetry_space_group_name_H-M 'P 1'
_symmetry_Int_Tables_number 1
_cell_length_a 4.6505
_cell_length_b 4.6505
_cell_length_c 5.5042
_cell_angle_alpha 90.00
_cell_angle_beta 90.00
_cell_angle_gamma 120.00
loop_
_symmetry_equiv_pos_as_xyz
'x,y,z'
loop_
_atom_site_label
_atom_site_type_symbol
_atom_site_fract_x
_atom_site_fract_y
_atom_site_fract_z
Sb1 Sb 0.3333 0.6667 0.2500
Sb2 Sb 0.6667 0.3333 0.7500
W1 W 0.3333 0.6667 0.7500
W2 W 0.6667 0.3333 0.2500
# Volume   25.77 Å³ per atom
# Symmetry   No. 194
# Crystal system   hexagonal
# Formation energy (no corrections)   1.3954 eV per atom
# Magnetization   0.4 μB/f.u.